VASP calculation (PBE) on Sm2YPuSe4 after structural relaxation. Values from VASP.

- Symmetry: P2/m
- DOS(E_F): 1.1491 states/eV per atom
- Magnetic moment: 0.735 μB per atom
- Electronic total energy: -58.19 eV per cell
- Energy relative to the elements, uncorrected: -1.752 eV/atom

```
&SYSTEM
  ibrav = 0, nat = 8, ntyp = 4
/
ATOMIC_SPECIES
Sm 150.36 Sm.upf
Y 88.91 Y.upf
Pu 244.00 Pu.upf
Se 78.96 Se.upf
ATOMIC_POSITIONS crystal
Sm 0.000 0.000 0.000
Sm 0.500 0.500 0.000
Y 0.000 0.500 0.500
Pu 0.500 0.000 0.500
Se 0.246 0.000 0.744
Se 0.250 0.500 0.255
Se 0.750 0.500 0.745
Se 0.754 0.000 0.256
CELL_PARAMETERS angstrom
7.181 0.000 0.000
0.000 4.124 0.000
-2.361 0.000 6.792
```